Gd2H2Br3Cl | PBE | relaxed

Cell: 3.8594 3.8594 14.6535 Å, 90.00 90.00 120.00°
Space group P3m1 (No. 156)
Unique sites:
Gd 0.0000 0.0000 0.0000 (multiplicity 1)
Gd 0.0000 0.0000 0.4958 (multiplicity 1)
H 0.3333 0.6667 0.0001 (multiplicity 1)
H 0.6667 0.3333 0.4988 (multiplicity 1)
Br 0.3333 0.6667 0.6278 (multiplicity 1)
Br 0.6667 0.3333 0.1320 (multiplicity 1)
Br 0.6667 0.3333 0.8685 (multiplicity 1)
Cl 0.3333 0.6667 0.3776 (multiplicity 1)

## Properties
E	-4.459	eV per atom

LiAg | PBE | relaxed

Cell: 2.9425 2.9425 4.3733 Å, 90.00 90.00 120.00°
Space group P-6m2 (No. 187)
Unique sites:
Li 0.0000 0.0000 0.0000 (multiplicity 1)
Ag 0.3333 0.6667 0.5000 (multiplicity 1)

## Properties
E	-2.531	eV per atom